SrPm2Pr after structural relaxation, computed with PBE.

a = 3.765 Å, b = 3.765 Å, c = 10.898 Å
α = 90.00°, β = 90.00°, γ = 90.00°
Space group P4/mmm (No. 123)
Asymmetric unit:
Sr 0.000 0.000 0.000 (multiplicity 1)
Pm 0.500 0.500 0.274 (multiplicity 2)
Pr 0.000 0.000 0.500 (multiplicity 1)

Results
Crystal system: tetragonal
E_form in eV/atom: 0.0928
Total magnetic moment in Bohr magnetons per cell: 0.000